No. 1
Li2TbTl4, relaxed, DFT GGA-PBE; space-group type = R-3m (166); DOS at the Fermi energy = 0.512 states/eV/atom; E = -2.76 eV per atom
1.0
2.478 1.431 8.318
-2.478 1.431 8.318
0.000 -2.861 8.318
Li Tb Tl
2 1 4
direct
0.248 0.248 0.248
0.752 0.752 0.752
0.500 0.500 0.500
0.112 0.112 0.112
0.367 0.367 0.367
0.633 0.633 0.633
0.888 0.888 0.888

***

No. 2
LaTlSb2, relaxed, DFT GGA-PBE; space-group type = P4mm (99); energy above the most stable polymorph in this dataset = 0.153 eV/atom; DOS at the Fermi energy = 0.561 states/eV/atom; E = -4.34 eV per atom
1.0
4.411 0.000 0.000
0.000 4.411 0.000
0.000 0.000 6.651
La Tl Sb
1 1 2
direct
0.000 0.000 0.000
0.500 0.500 0.650
0.000 0.000 0.507
0.500 0.500 0.119

***

No. 3
BaNaTl4, relaxed, DFT GGA-PBE; space-group type = Cmcm (63); energy above the most stable polymorph in this dataset = 0.075 eV/atom; DOS at the Fermi energy = 0.477 states/eV/atom; E = -2.26 eV per atom
1.0
2.789 -8.389 0.000
2.789 8.389 0.000
0.000 0.000 8.530
Ba Na Tl
2 2 8
direct
0.114 0.886 0.750
0.886 0.114 0.250
0.348 0.652 0.750
0.652 0.348 0.250
0.087 0.913 0.250
0.274 0.726 0.073
0.274 0.726 0.427
0.500 0.500 0.000
0.500 0.500 0.500
0.726 0.274 0.573
0.726 0.274 0.927
0.913 0.087 0.750

***

No. 4
BaPIO2, relaxed, DFT GGA-PBE; space-group type = P4/mmm (123); energy above the most stable polymorph in this dataset = 0.726 eV/atom; DOS at the Fermi energy = 0.551 states/eV/atom; E = -3.71 eV per atom
1.0
4.479 0.000 0.000
0.000 4.479 0.000
0.000 0.000 7.820
Ba P I O
1 1 1 2
direct
0.000 0.000 0.000
0.500 0.500 0.500
0.000 0.000 0.500
0.000 0.500 0.000
0.500 0.000 0.000

***

No. 5
CeH6Os, relaxed, DFT GGA-PBE; space-group type = R-3m (166); E = -4.95 eV per atom
1.0
2.247 1.297 3.776
-2.247 1.297 3.776
0.000 -2.595 3.776
Ce H Os
1 6 1
direct
0.000 0.000 0.000
0.050 0.605 0.605
0.395 0.395 0.950
0.395 0.950 0.395
0.605 0.050 0.605
0.605 0.605 0.050
0.950 0.395 0.395
0.500 0.500 0.500

***

No. 6
LaNd4Co2, relaxed, DFT GGA-PBE; space-group type = Cmmm (65); energy above the most stable polymorph in this dataset = 0.156 eV/atom; DOS at the Fermi energy = 1.099 states/eV/atom; E = -5.33 eV per atom
1.0
2.384 -8.597 0.000
2.384 8.597 0.000
0.000 0.000 4.768
La Nd Co
1 4 2
direct
0.000 0.000 0.000
0.165 0.835 0.500
0.338 0.662 0.000
0.662 0.338 0.000
0.835 0.165 0.500
0.435 0.565 0.500
0.565 0.435 0.500

***

No. 7
YNiOs, relaxed, DFT GGA-PBE; space-group type = C2/m (12); energy above the most stable polymorph in this dataset = 0.238 eV/atom; DOS at the Fermi energy = 1.533 states/eV/atom; E = -7.95 eV per atom
1.0
4.950 -2.107 0.000
4.950 2.107 0.000
-4.874 0.000 5.167
Y Ni Os
2 2 2
direct
0.057 0.057 0.313
0.943 0.943 0.687
0.334 0.334 0.286
0.666 0.666 0.714
0.345 0.345 0.917
0.655 0.655 0.083

***

No. 8
Pm4ZnSn4, relaxed, DFT GGA-PBE; space-group type = I4/m (87); DOS at the Fermi energy = 0.938 states/eV/atom; E = -4.33 eV per atom
1.0
-4.718 4.718 3.172
4.718 -4.718 3.172
4.718 4.718 -3.172
Pm Zn Sn
4 1 4
direct
0.081 0.715 0.795
0.285 0.081 0.366
0.715 0.919 0.634
0.919 0.285 0.205
0.500 0.500 0.000
0.223 0.414 0.637
0.414 0.777 0.190
0.586 0.223 0.810
0.777 0.586 0.363